(1)
TbZr4N4 (PBE, relaxed); energy relative to the elements, uncorrected = -1521 meV/atom; total DFT energy (no corrections) = -9.535 eV per atom; theoretical density = 7482 kg/m³; crystal system = tetragonal
1.0
4.2699 0.0000 1.7118
2.0972 5.2859 0.9501
0.1664 -0.1034 5.7661
N Tb Zr
4 1 4
Direct
0.6919 0.2066 0.4097
0.1018 0.5896 0.2068
0.8982 0.4104 0.7932
0.3081 0.7934 0.5903
0.0000 0.0000 0.0000
0.8156 0.7958 0.5730
0.3886 0.4270 0.7958
0.6114 0.5730 0.2042
0.1844 0.2042 0.4270



(2)
Tb2Zr2N3 (PBE, relaxed); energy relative to the elements, uncorrected = -1467 meV/atom; total DFT energy (no corrections) = -8.800 eV per atom; theoretical density = 8121 kg/m³; crystal system = triclinic
1.0
3.4232 -0.0039 -0.0019
-1.7076 5.6666 -1.1385
0.0019 -0.3772 5.7941
N Tb Zr
3 2 2
Direct
0.7490 0.4976 0.2593
0.0000 0.0000 0.0000
0.2510 0.5024 0.7407
0.3805 0.7599 0.1420
0.6195 0.2401 0.8580
0.8595 0.7183 0.6487
0.1405 0.2817 0.3513



(3)
Tc2N (PBE, relaxed); energy relative to the elements, uncorrected = -104 meV/atom; total DFT energy (no corrections) = -9.789 eV per atom; theoretical density = 10172 kg/m³; energy above the lowest structure with this stoichiometry = 0.0 meV per atom; crystal system = hexagonal
1.0
2.8491 0.0000 0.0000
-1.4246 2.4674 0.0000
0.0000 0.0000 9.7535
Tc N
4 2
Direct
0.3333 0.6667 0.1083
0.6667 0.3333 0.8917
0.3333 0.6667 0.3917
0.6667 0.3333 0.6083
0.3333 0.6667 0.7500
0.6667 0.3333 0.2500



(4)
Tc2N (PBE, relaxed); energy relative to the elements, uncorrected = 36 meV/atom; total DFT energy (no corrections) = -9.650 eV per atom; theoretical density = 10175 kg/m³; energy above the lowest structure with this stoichiometry = 139.5 meV per atom; crystal system = trigonal
1.0
2.7581 0.7343 0.1853
0.7343 2.7581 0.1853
-1.4206 -1.4206 4.6984
Tc N
2 1
Direct
0.7380 0.7380 0.7136
0.2620 0.2620 0.2864
0.5000 0.5000 0.0000



(5)
Tc2N (PBE, relaxed); energy relative to the elements, uncorrected = 206 meV/atom; total DFT energy (no corrections) = -9.480 eV per atom; theoretical density = 10091 kg/m³; energy above the lowest structure with this stoichiometry = 309.6 meV per atom; crystal system = trigonal
1.0
2.7722 0.0000 0.0000
-1.3861 2.4008 0.0000
0.0000 0.0000 5.1923
Tc N
2 1
Direct
0.3333 0.6667 0.7230
0.6667 0.3333 0.2770
0.0000 0.0000 0.0000



(6)
Tc2N3 (PBE, relaxed); energy relative to the elements, uncorrected = 98 meV/atom; total DFT energy (no corrections) = -9.044 eV per atom; theoretical density = 7524 kg/m³; crystal system = trigonal
1.0
-0.6227 -1.0125 -4.7718
-1.5678 -4.4505 -1.3850
-5.4808 -0.2358 -1.7687
N Tc
6 4
Direct
0.5962 0.9038 0.2500
0.4038 0.0962 0.7500
0.0962 0.7500 0.7500
0.9038 0.2500 0.2500
0.2500 0.5962 0.2500
0.7500 0.4038 0.7500
0.8417 0.8417 0.4750
0.6583 0.6583 0.0250
0.1583 0.1583 0.5250
0.3417 0.3417 0.9750



(7)
Tc4N (PBE, relaxed); energy relative to the elements, uncorrected = 66 meV/atom; total DFT energy (no corrections) = -9.892 eV per atom; theoretical density = 10290 kg/m³; crystal system = cubic
1.0
-1.2911 3.6290 -1.1897
0.7397 -0.9945 -3.8362
-3.7467 -1.4469 -0.3474
Tc N
4 1
Direct
0.5000 0.5000 0.0000
0.5000 0.0000 0.5000
0.0000 0.0000 0.0000
0.0000 0.5000 0.5000
0.5000 0.5000 0.5000



(8)
Tc4N3 (PBE, relaxed); energy relative to the elements, uncorrected = 192 meV/atom; total DFT energy (no corrections) = -9.300 eV per atom; theoretical density = 9825 kg/m³; crystal system = trigonal
1.0
10.8698 -1.3977 0.0068
10.8698 1.3977 0.0068
10.6886 0.0000 2.4209
N Tc
3 4
Direct
0.7563 0.7563 0.7563
0.0000 0.0000 0.0000
0.2437 0.2437 0.2437
0.3788 0.3788 0.3788
0.6212 0.6212 0.6212
0.1340 0.1340 0.1340
0.8660 0.8660 0.8660